Record 1
A plane-wave DFT calculation with GGA-PBE was carried out for crystalline BaSr2F6 at its relaxed geometry.

Cell: 4.236 4.236 9.511 Å, 102.87 102.87 90.00°
Sites, in units of the cell vectors:
Sr (0.329, 0.329, 0.658)
Sr (0.671, 0.671, 0.342)
F (0.410, 0.910, 0.820)
F (0.590, 0.090, 0.180)
F (0.090, 0.590, 0.180)
F (0.250, 0.750, 0.500)
F (0.750, 0.250, 0.500)
F (0.910, 0.410, 0.820)
Ba (0.000, 0.000, 0.000)

D(E_F), states/eV/f.u.: 0.0
Uncorrected formation energy, eV per atom: -3.914
Spin magnetization, μB/atom: 0.000
E, eV for the cell shown: -51.74

Record 2
A plane-wave DFT calculation with GGA-PBE was carried out for crystalline BaSrF3 at its relaxed geometry.

Cell: 4.956 4.956 4.956 Å, 90.00 90.00 90.00°
Sites, in units of the cell vectors:
F (0.000, 0.000, 0.500)
F (0.500, 0.000, 0.000)
F (0.000, 0.500, 0.000)
Ba (0.000, 0.000, 0.000)
Sr (0.500, 0.500, 0.500)

D(E_F), states/eV/f.u.: 1.3
Energy above the most stable polymorph in this dataset, meV per atom: 238
Uncorrected formation energy, eV per atom: -2.900
Spin magnetization, μB/atom: 0.000
E, eV for the cell shown: -23.72

Record 3
A plane-wave DFT calculation with GGA-PBE was carried out for crystalline Ba3SrF8 at its relaxed geometry.

Cell: 6.174 6.174 7.557 Å, 114.11 114.11 90.00°
Sites, in units of the cell vectors:
F (0.637, 0.120, 0.757)
F (0.363, 0.363, 0.243)
F (0.880, 0.363, 0.243)
F (0.637, 0.637, 0.757)
F (0.120, 0.120, 0.757)
F (0.880, 0.880, 0.243)
F (0.120, 0.637, 0.757)
F (0.363, 0.880, 0.243)
Ba (0.250, 0.750, 0.500)
Ba (0.750, 0.250, 0.500)
Ba (0.500, 0.500, 0.000)
Sr (0.000, 0.000, 0.000)

D(E_F), states/eV/f.u.: 0.0
Uncorrected formation energy, eV per atom: -3.887
Spin magnetization, μB/atom: 0.000
E, eV for the cell shown: -69.07